Computed, not measured: Y3ZrZn2 after structural relaxation at the GGA-PBE level of DFT.

Cell lengths 3.4879, 3.4879, 12.0340 Å; angles 90.00, 90.00, 90.00 degrees
With the nearest neighbours (Å) after each atom.
Fractional coordinates of all 6 atoms:
Y  0.0000  0.0000  0.0000  8 Zn 3.07
Y  0.0000  0.0000  0.3105  4 Zn 3.12, 4 Zr 3.36, 4 Y 3.49
Y  0.0000  0.0000  0.6895  4 Zn 3.12, 4 Zr 3.36, 4 Y 3.49
Zr  0.5000  0.5000  0.5000  8 Y 3.36, 4 Zr 3.49
Zn  0.5000  0.5000  0.1521  8 Y 3.07-3.12
Zn  0.5000  0.5000  0.8479  8 Y 3.07-3.12

Properties
Total energy = -5.28 eV per atom
Energy relative to the elements = -0.195 eV per atom
Fermi-level density of states = 1.178 states/eV/atom

---

Computed, not measured: YZr4Zn after structural relaxation at the GGA-PBE level of DFT.

Cell lengths 5.9089, 5.9089, 5.9089 Å; angles 60.00, 60.00, 60.00 degrees
With the nearest neighbours (Å) after each atom.
Fractional coordinates of all 6 atoms:
Y  0.0000  0.0000  0.0000  12 Zr 3.46, 4 Zn 3.62
Zr  0.3729  0.3729  0.3729  6 Zr 2.90-3.00
Zr  0.3729  0.3729  0.8814  6 Zr 2.90-3.00
Zr  0.3729  0.8814  0.3729  6 Zr 2.90-3.00
Zr  0.8814  0.3729  0.3729  6 Zr 2.90-3.00
Zn  0.7500  0.7500  0.7500  12 Zr 3.47, 4 Y 3.62

Properties
Total energy = -6.70 eV per atom
Energy relative to the elements = 0.291 eV per atom
Fermi-level density of states = 1.544 states/eV/atom

---

Computed, not measured: YZr3Zn8 after structural relaxation at the GGA-PBE level of DFT.

Cell lengths 5.3353, 5.3353, 8.5324 Å; angles 90.00, 90.00, 120.00 degrees
With the nearest neighbours (Å) after each atom.
Fractional coordinates of all 12 atoms:
Y  0.0000  0.0000  0.0000  12 Zn 3.11-3.14, 4 Zr 3.23-3.31
Zr  0.0000  0.0000  0.3780  12 Zn 2.98-3.12, 1 Y 3.23, 3 Zr 3.25
Zr  0.6667  0.3333  0.4986  12 Zn 3.04-3.13, 4 Zr 3.05-3.25
Zr  0.6667  0.3333  0.8565  1 Zr 3.05, 12 Zn 3.06-3.20, 3 Y 3.31
Zn  0.1630  0.3260  0.6799  6 Zn 2.61-2.73
Zn  0.1630  0.8370  0.6799  6 Zn 2.61-2.73
Zn  0.3333  0.6667  0.4325  6 Zn 2.63
Zn  0.3333  0.6667  0.9313  6 Zn 2.66-2.71
Zn  0.5058  0.0116  0.1880  6 Zn 2.57-2.76
Zn  0.5058  0.4942  0.1880  6 Zn 2.57-2.76
Zn  0.6740  0.8370  0.6799  6 Zn 2.61-2.73
Zn  0.9884  0.4942  0.1880  6 Zn 2.57-2.76

Properties
Total energy = -3.79 eV per atom
Energy relative to the elements = -0.270 eV per atom
Fermi-level density of states = 0.898 states/eV/atom

---

Computed, not measured: Y2ZrZn2 after structural relaxation at the GGA-PBE level of DFT.

Cell lengths 8.0926, 8.0926, 3.5835 Å; angles 90.00, 90.00, 90.00 degrees
With the nearest neighbours (Å) after each atom.
Fractional coordinates of all 10 atoms:
Y  0.1716  0.3284  0.0000  6 Zn 2.92-3.03
Y  0.3284  0.8284  0.0000  6 Zn 2.92-3.03
Y  0.6716  0.1716  0.0000  6 Zn 2.92-3.03
Y  0.8284  0.6716  0.0000  6 Zn 2.92-3.03
Zr  0.0000  0.0000  0.5000  4 Zn 3.19, 8 Y 3.49
Zr  0.5000  0.5000  0.5000  4 Zn 3.19, 8 Y 3.49
Zn  0.1268  0.6268  0.5000  1 Zn 2.90, 6 Y 2.92-3.03, 2 Zr 3.19
Zn  0.3732  0.1268  0.5000  1 Zn 2.90, 6 Y 2.92-3.03, 2 Zr 3.19
Zn  0.6268  0.8732  0.5000  1 Zn 2.90, 6 Y 2.92-3.03, 2 Zr 3.19
Zn  0.8732  0.3732  0.5000  1 Zn 2.90, 6 Y 2.92-3.03, 2 Zr 3.19

Properties
Total energy = -4.95 eV per atom
Energy relative to the elements = -0.146 eV per atom
ΔE to the lowest computed polymorph = 0 meV/atom
Fermi-level density of states = 1.099 states/eV/atom

---

Computed, not measured: Y2ZrZn after structural relaxation at the GGA-PBE level of DFT.

Cell lengths 3.5265, 5.1548, 11.1102 Å; angles 90.00, 90.00, 90.00 degrees
With the nearest neighbours (Å) after each atom.
Fractional coordinates of all 8 atoms:
Y  0.0000  0.0000  0.0000  2 Zn 3.06, 4 Zr 3.23
Y  0.0000  0.5000  0.2107  4 Zn 3.13, 2 Y 3.48
Y  0.5000  0.0000  0.7107  4 Zn 3.13, 2 Y 3.48
Y  0.5000  0.5000  0.5000  2 Zn 3.06, 4 Zr 3.23
Zr  0.0000  0.0000  0.4263  2 Zn 2.84
Zr  0.5000  0.5000  0.9263  2 Zn 2.84
Zn  0.0000  0.5000  0.7254  2 Zr 2.84, 6 Y 3.06-3.13
Zn  0.5000  0.0000  0.2254  2 Zr 2.84, 6 Y 3.06-3.13

Properties
Total energy = -5.81 eV per atom
Energy relative to the elements = -0.119 eV per atom
Fermi-level density of states = 1.054 states/eV/atom

---

Computed, not measured: Y2Zr2Zn after structural relaxation at the GGA-PBE level of DFT.

Cell lengths 4.2618, 4.2618, 14.8348 Å; angles 90.00, 90.00, 90.00 degrees
With the nearest neighbours (Å) after each atom.
Fractional coordinates of all 10 atoms:
Y  0.0000  0.5000  0.2500  4 Y 3.01, 4 Zr 3.28
Y  0.0000  0.5000  0.7500  4 Y 3.01, 4 Zr 3.28
Y  0.5000  0.0000  0.2500  4 Y 3.01, 4 Zr 3.28
Y  0.5000  0.0000  0.7500  4 Y 3.01, 4 Zr 3.28
Zr  0.0000  0.0000  0.0821  1 Zr 2.43
Zr  0.0000  0.0000  0.9179  1 Zr 2.43
Zr  0.5000  0.5000  0.4179  1 Zr 2.43
Zr  0.5000  0.5000  0.5821  1 Zr 2.43
Zn  0.0000  0.0000  0.5000  8 Zr 3.25
Zn  0.5000  0.5000  0.0000  8 Zr 3.25

Properties
Total energy = -5.61 eV per atom
Energy relative to the elements = 0.654 eV per atom
ΔE to the lowest computed polymorph = 533 meV/atom
Fermi-level density of states = 1.257 states/eV/atom

---

Computed, not measured: YZr2Zn2 after structural relaxation at the GGA-PBE level of DFT.

Cell lengths 8.0515, 8.0515, 3.3230 Å; angles 90.00, 90.00, 90.00 degrees
With the nearest neighbours (Å) after each atom.
Fractional coordinates of all 10 atoms:
Y  0.0000  0.0000  0.0000  4 Zn 3.08, 2 Y 3.32
Y  0.5000  0.5000  0.0000  4 Zn 3.08, 2 Y 3.32
Zr  0.1528  0.3472  0.5000  6 Zn 2.82-2.93
Zr  0.3472  0.8472  0.5000  6 Zn 2.82-2.93
Zr  0.6528  0.1528  0.5000  6 Zn 2.82-2.93
Zr  0.8472  0.6528  0.5000  6 Zn 2.82-2.93
Zn  0.1474  0.6474  0.0000  6 Zr 2.82-2.93, 2 Y 3.08
Zn  0.3526  0.1474  0.0000  6 Zr 2.82-2.93, 2 Y 3.08
Zn  0.6474  0.8526  0.0000  6 Zr 2.82-2.93, 2 Y 3.08
Zn  0.8526  0.3526  0.0000  6 Zr 2.82-2.93, 2 Y 3.08

Properties
Total energy = -5.37 eV per atom
Energy relative to the elements = -0.147 eV per atom
ΔE to the lowest computed polymorph = 69 meV/atom
Fermi-level density of states = 0.717 states/eV/atom

---

Computed, not measured: YZr5Zn6 after structural relaxation at the GGA-PBE level of DFT.

Cell lengths 8.2708, 8.2708, 8.2708 Å; angles 146.46, 131.77, 60.03 degrees
With the nearest neighbours (Å) after each atom.
Fractional coordinates of all 12 atoms:
Y  0.0000  0.0000  0.0000  8 Zn 2.96-2.97
Zr  0.1666  0.6666  0.5000  8 Zn 2.88-2.96
Zr  0.3328  0.3328  0.0000  8 Zn 2.89-2.91
Zr  0.5000  0.0000  0.5000  8 Zn 2.89-2.94
Zr  0.6672  0.6672  0.0000  8 Zn 2.89-2.91
Zr  0.8334  0.3334  0.5000  8 Zn 2.88-2.96
Zn  0.0854  0.8307  0.2547  7 Zr 2.88-2.94, 1 Y 2.97
Zn  0.2598  0.5000  0.7598  6 Zr 2.89-2.96, 2 Y 2.96
Zn  0.4241  0.1693  0.2547  7 Zr 2.88-2.94, 1 Y 2.97
Zn  0.5759  0.8307  0.7453  7 Zr 2.88-2.94, 1 Y 2.97
Zn  0.7402  0.5000  0.2402  6 Zr 2.89-2.96, 2 Y 2.96
Zn  0.9146  0.1693  0.7453  7 Zr 2.88-2.94, 1 Y 2.97

Properties
Total energy = -5.00 eV per atom
Energy relative to the elements = -0.264 eV per atom
Fermi-level density of states = 0.921 states/eV/atom